Entry 1:
Compound: NaPr2P
Source: Alexandria
Functional: GGA-PBE
Structure: relaxed

Cell and atoms, written as CIF:
```
data_NaPr2P
_chemical_formula_sum 'Na3 Pr6 P3'
_cell_length_a 3.9862
_cell_length_b 3.9862
_cell_length_c 32.5494
_cell_angle_alpha 90.00
_cell_angle_beta 90.00
_cell_angle_gamma 120.00
_space_group_name_H-M_alt 'R -3 m'
_space_group_IT_number 166
_space_group_name_Hall '-R 3 2"'
loop_
_atom_site_label
_atom_site_fract_x
_atom_site_fract_y
_atom_site_fract_z
_atom_site_occupancy
Na1 0.0000 0.0000 0.0000 1
Pr1 0.0000 0.0000 0.1162 1
P1 0.0000 0.0000 0.5000 1
```

Output
DFT formation energy = -0.582 eV/atom
M_tot = 0.00 μB/cell
N(E_F) = 3.7 states/eV/f.u.

---

Entry 2:
Compound: PmPrHo3Mg
Source: Alexandria
Functional: GGA-PBE
Structure: relaxed

Cell and atoms, written as CIF:
```
data_PmPrHo3Mg
_chemical_formula_sum 'Pm4 Pr4 Ho12 Mg4'
_cell_length_a 19.875
_cell_length_b 5.900
_cell_length_c 7.080
_cell_angle_alpha 90.00
_cell_angle_beta 110.49
_cell_angle_gamma 90.00
_space_group_name_H-M_alt 'C 1 2/m 1'
_space_group_IT_number 12
_space_group_name_Hall '-C 2y'
loop_
_atom_site_label
_atom_site_fract_x
_atom_site_fract_y
_atom_site_fract_z
_atom_site_occupancy
Pm1 0.179 0.000 0.430 1
Pr1 0.200 0.000 0.949 1
Ho1 0.029 0.000 0.779 1
Ho2 0.139 0.500 0.125 1
Ho3 0.142 0.500 0.656 1
Mg1 0.008 0.500 0.265 1
```

Output
DFT formation energy = 0.188 eV/atom
M_tot = 0.00 μB/cell
N(E_F) = 8.4 states/eV/f.u.

---

Question: Look up the N(E_F) of the second one.
Answer: 8.4 states/eV/f.u.

---

Repeat the second record exactly.
Compound: PmPrHo3Mg
Source: Alexandria
Functional: GGA-PBE
Structure: relaxed

Cell and atoms, written as CIF:
```
data_PmPrHo3Mg
_chemical_formula_sum 'Pm4 Pr4 Ho12 Mg4'
_cell_length_a 19.875
_cell_length_b 5.900
_cell_length_c 7.080
_cell_angle_alpha 90.00
_cell_angle_beta 110.49
_cell_angle_gamma 90.00
_space_group_name_H-M_alt 'C 1 2/m 1'
_space_group_IT_number 12
_space_group_name_Hall '-C 2y'
loop_
_atom_site_label
_atom_site_fract_x
_atom_site_fract_y
_atom_site_fract_z
_atom_site_occupancy
Pm1 0.179 0.000 0.430 1
Pr1 0.200 0.000 0.949 1
Ho1 0.029 0.000 0.779 1
Ho2 0.139 0.500 0.125 1
Ho3 0.142 0.500 0.656 1
Mg1 0.008 0.500 0.265 1
```

Output
DFT formation energy = 0.188 eV/atom
M_tot = 0.00 μB/cell
N(E_F) = 8.4 states/eV/f.u.